Entry 1:
Tm2Ga2SiRu5 | GGA-PBE | optimized geometry

Cell lengths 9.928, 9.928, 3.279 Å; angles 90.00, 90.00, 90.00 degrees
Space group P4/mbm (No. 127)
Unique sites:
1 Tm 0.169 0.331 0.000 [4 per cell]
2 Ga 0.132 0.632 0.000 [4 per cell]
3 Si 0.000 0.000 0.000 [2 per cell]
4 Ru 0.000 0.500 0.500 [2 per cell]
5 Ru 0.060 0.811 0.500 [8 per cell]

Computed properties:
The value obtained for the volume is 16.2 Å³ per atom. The calculation puts the formation energy (no corrections) at -0.435 eV/atom.

Entry 2:
UGaSiRu3 | GGA-PBE | optimized geometry

Cell lengths 5.612, 12.337, 5.810 Å; angles 90.00, 90.00, 90.00 degrees
Space group Cmcm (No. 63)
Unique sites:
1 U 0.000 0.160 0.250 [4 per cell]
2 Ga 0.000 0.139 0.750 [4 per cell]
3 Si 0.000 0.394 0.250 [4 per cell]
4 Ru 0.000 0.340 0.750 [4 per cell]
5 Ru 0.246 0.000 0.000 [8 per cell]

Computed properties:
The value obtained for the volume is 16.8 Å³ per atom. The calculation puts the formation energy (no corrections) at -0.146 eV/atom.

Entry 3:
U2GaSi2Ru5 | GGA-PBE | optimized geometry

Cell lengths 9.949, 9.949, 3.252 Å; angles 90.00, 90.00, 90.00 degrees
Space group P4/mbm (No. 127)
Unique sites:
1 U 0.173 0.327 0.000 [4 per cell]
2 Ga 0.000 0.000 0.000 [2 per cell]
3 Si 0.126 0.626 0.000 [4 per cell]
4 Ru 0.000 0.500 0.500 [2 per cell]
5 Ru 0.066 0.792 0.500 [8 per cell]

Computed properties:
The value obtained for the volume is 16.1 Å³ per atom. The calculation puts the formation energy (no corrections) at -0.459 eV/atom.

Entry 4:
GaSiRuW2 | GGA-PBE | optimized geometry

Cell lengths 4.564, 4.564, 4.436 Å; angles 90.00, 90.00, 90.00 degrees
Space group P4/mmm (No. 123)
Unique sites:
1 Ga 0.000 0.000 0.000 [1 per cell]
2 Si 0.500 0.500 0.500 [1 per cell]
3 Ru 0.000 0.000 0.500 [1 per cell]
4 W 0.000 0.500 0.000 [2 per cell]

Computed properties:
The value obtained for the volume is 18.5 Å³ per atom. The calculation puts the formation energy (no corrections) at 1.836 eV/atom.